Record 1
First-principles (PBE) data for a relaxed structure of ErMg8Cd4, as listed in the Alexandria database.

Output
Symmetry: I4/mmm (139)
Calculated formation energy (eV/atom): -0.100
Magnetization (μB per cell): 0.00

Cell lengths 5.905, 7.656, 7.656 Å; angles 81.44, 67.31, 67.31 degrees
Positions (direct):
1 Er 0.000 0.000 0.000
2 Mg 0.000 0.349 0.651
3 Mg 0.000 0.651 0.349
4 Mg 0.349 0.651 0.651
5 Mg 0.651 0.349 0.349
6 Mg 0.500 0.788 0.212
7 Mg 0.500 0.212 0.788
8 Mg 0.288 0.212 0.212
9 Mg 0.712 0.788 0.788
10 Cd 0.000 0.000 0.500
11 Cd 0.500 0.000 0.500
12 Cd 0.000 0.500 0.000
13 Cd 0.500 0.500 0.000

Record 2
First-principles (PBE) data for a relaxed structure of Er2MgCd3, as listed in the Alexandria database.

Output
Symmetry: Fmmm (69)
Calculated formation energy (eV/atom): -0.255
Magnetization (μB per cell): 0.00
Relative energy among the computed polymorphs (eV/atom): 0.0391

Cell lengths 6.031, 6.031, 9.276 Å; angles 101.79, 101.79, 111.81 degrees
Positions (direct):
1 Er 0.250 0.750 0.500
2 Er 0.752 0.752 0.000
3 Er 0.750 0.250 0.500
4 Er 0.248 0.248 0.000
5 Mg 0.667 0.667 0.334
6 Mg 0.333 0.333 0.666
7 Cd 0.336 0.832 0.168
8 Cd 0.168 0.664 0.832
9 Cd 0.664 0.168 0.832
10 Cd 0.832 0.336 0.168
11 Cd 0.167 0.167 0.335
12 Cd 0.833 0.833 0.665

Record 3
First-principles (PBE) data for a relaxed structure of Er7MgCd4, as listed in the Alexandria database.

Output
Symmetry: C2/m (12)
Calculated formation energy (eV/atom): -0.010
Magnetization (μB per cell): 0.01

Cell lengths 5.692, 8.815, 7.809 Å; angles 68.52, 68.63, 71.16 degrees
Positions (direct):
1 Er 0.803 0.879 0.514
2 Er 0.197 0.121 0.486
3 Er 0.075 0.582 0.268
4 Er 0.925 0.418 0.732
5 Er 0.255 0.706 0.783
6 Er 0.500 0.000 0.000
7 Er 0.745 0.294 0.217
8 Mg 0.000 0.000 0.000
9 Cd 0.538 0.305 0.619
10 Cd 0.462 0.695 0.381
11 Cd 0.682 0.656 0.979
12 Cd 0.318 0.344 0.021

Record 4
First-principles (PBE) data for a relaxed structure of Er4MgCd, as listed in the Alexandria database.

Output
Symmetry: P4/mmm (123)
Calculated formation energy (eV/atom): 0.262
Magnetization (μB per cell): 0.00

Cell lengths 5.100, 5.100, 7.379 Å; angles 90.00, 90.00, 90.00 degrees
Positions (direct):
1 Er 0.501 0.997 0.256
2 Er 0.501 0.997 0.740
3 Er 0.001 0.497 0.740
4 Er 0.001 0.497 0.256
5 Mg 0.501 0.497 0.998
6 Cd 0.001 0.997 0.498

Record 5
First-principles (PBE) data for a relaxed structure of ErMg14Cd, as listed in the Alexandria database.

Output
Symmetry: P4/mmm (123)
Calculated formation energy (eV/atom): -0.001
Magnetization (μB per cell): 0.00

Cell lengths 6.596, 6.596, 8.641 Å; angles 90.00, 90.00, 90.00 degrees
Positions (direct):
1 Er 0.875 0.875 0.500
2 Mg 0.875 0.875 0.000
3 Mg 0.375 0.375 0.000
4 Mg 0.875 0.375 0.500
5 Mg 0.875 0.375 0.000
6 Mg 0.375 0.875 0.500
7 Mg 0.375 0.875 0.000
8 Mg 0.623 0.127 0.246
9 Mg 0.623 0.127 0.754
10 Mg 0.127 0.623 0.246
11 Mg 0.127 0.623 0.754
12 Mg 0.623 0.623 0.246
13 Mg 0.623 0.623 0.754
14 Mg 0.127 0.127 0.246
15 Mg 0.127 0.127 0.754
16 Cd 0.375 0.375 0.500

Record 6
First-principles (PBE) data for a relaxed structure of ErMg3Cd4, as listed in the Alexandria database.

Output
Symmetry: P4/mmm (123)
Calculated formation energy (eV/atom): -0.185
Magnetization (μB per cell): 0.00

Cell lengths 4.864, 7.579, 9.726 Å; angles 90.00, 90.00, 90.00 degrees
Positions (direct):
1 Mg 0.000 0.000 0.000
2 Mg 0.000 0.000 0.500
3 Mg 0.501 0.000 0.750
4 Mg 0.499 0.000 0.250
5 Mg 0.500 0.500 0.750
6 Mg 0.500 0.500 0.250
7 Cd 0.500 0.759 0.000
8 Cd 0.500 0.759 0.500
9 Cd 0.500 0.241 0.000
10 Cd 0.500 0.241 0.500
11 Cd 0.001 0.759 0.750
12 Cd 0.999 0.759 0.250
13 Cd 0.999 0.241 0.250
14 Cd 0.001 0.241 0.750
15 Er 0.000 0.500 0.000
16 Er 0.000 0.500 0.500